one | Cu5Ag4 (PBE-GGA, optimized geometry); symmetry = No. 157; theoretical density = 9.421 g/cm³
1.0
-0.433 -1.774 -4.438
3.993 -0.819 2.532
-2.698 -5.520 2.470
Ag Cu
4 5
direct
0.000 0.000 0.318 Ag
0.664 0.000 0.672 Ag
0.336 0.336 0.672 Ag
0.000 0.664 0.672 Ag
0.351 0.000 0.010 Cu
0.000 0.351 0.010 Cu
0.649 0.649 0.010 Cu
0.667 0.333 0.318 Cu
0.333 0.667 0.318 Cu

two | Cu5Ag4 (PBE-GGA, optimized geometry); symmetry = No. 8; theoretical density = 9.491 g/cm³
1.0
-1.457 -6.795 1.067
1.344 -6.868 0.680
0.965 4.431 6.151
Ag Cu
4 5
direct
0.325 0.325 0.014 Ag
0.553 0.553 0.307 Ag
0.236 0.236 0.335 Ag
0.115 0.115 0.671 Ag
0.906 0.906 0.365 Cu
0.443 0.443 0.669 Cu
0.789 0.789 0.676 Cu
0.988 0.988 0.969 Cu
0.645 0.645 0.994 Cu

Which structure is the most stable? The one labeled two.

one | AgTePtO (PBE-GGA, optimized geometry); symmetry = No. 129; theoretical density = 9.624 g/cm³; M_tot = 0.00 μB/atom
1.0
-1.517 1.917 -3.209
-2.951 -2.740 -0.242
-5.387 5.296 5.711
Ag O Pt Te
2 2 2 2
direct
0.750 0.750 0.428 Ag
0.250 0.250 0.572 Ag
0.750 0.250 0.500 O
0.250 0.750 0.500 O
0.750 0.750 0.133 Pt
0.250 0.250 0.867 Pt
0.250 0.250 0.144 Te
0.750 0.750 0.856 Te

two | AgTePtO (PBE-GGA, optimized geometry); symmetry = No. 29; theoretical density = 10.355 g/cm³; M_tot = 0.00 μB/atom
1.0
-0.497 1.455 5.594
-5.896 -5.729 0.967
4.155 -4.037 1.419
Ag O Pt Te
4 4 4 4
direct
0.197 0.018 0.386 Ag
0.697 0.982 0.386 Ag
0.303 0.018 0.886 Ag
0.803 0.982 0.886 Ag
0.620 0.255 0.234 O
0.120 0.745 0.234 O
0.880 0.255 0.734 O
0.380 0.745 0.734 O
0.989 0.272 0.116 Pt
0.489 0.728 0.116 Pt
0.511 0.272 0.616 Pt
0.011 0.728 0.616 Pt
0.403 0.362 0.014 Te
0.903 0.638 0.014 Te
0.097 0.362 0.514 Te
0.597 0.638 0.514 Te

Which structure is the most stable? The one labeled two.

one | Dy3Hf3Bi2Os (PBE-GGA, optimized geometry); symmetry = No. 189; theoretical density = 11.867 g/cm³; M_tot = 0.09 μB/atom
1.0
-5.246 -5.218 -3.043
7.600 -2.199 1.185
-0.956 -1.257 3.803
Bi Dy Hf Os
2 3 3 1
direct
0.667 0.333 0.500 Bi
0.333 0.667 0.500 Bi
0.392 0.000 0.000 Dy
0.000 0.392 0.000 Dy
0.608 0.608 0.000 Dy
0.777 0.000 0.500 Hf
0.223 0.223 0.500 Hf
0.000 0.777 0.500 Hf
0.000 0.000 0.000 Os

two | Dy3Hf3Bi2Os (PBE-GGA, optimized geometry); symmetry = No. 189; theoretical density = 12.125 g/cm³; M_tot = 0.00 μB/atom
1.0
-2.750 1.112 -7.612
-5.228 0.034 6.277
0.484 3.816 0.383
Bi Dy Hf Os
2 3 3 1
direct
0.667 0.333 0.500 Bi
0.333 0.667 0.500 Bi
0.751 0.000 0.500 Dy
0.249 0.249 0.500 Dy
0.000 0.751 0.500 Dy
0.375 0.000 0.000 Hf
0.000 0.375 0.000 Hf
0.625 0.625 0.000 Hf
0.000 0.000 0.000 Os

Which structure is the most stable? The one labeled one.

one | BaMgTaCo (PBE-GGA, optimized geometry); symmetry = No. 216; theoretical density = 7.456 g/cm³; M_tot = 0.01 μB/atom
1.0
2.807 -1.222 3.978
0.279 3.114 3.927
-2.200 -1.230 4.341
Ba Co Mg Ta
1 1 1 1
direct
0.000 0.000 0.000 Ba
0.250 0.250 0.250 Co
0.750 0.750 0.750 Mg
0.500 0.500 0.500 Ta

two | BaMgTaCo (PBE-GGA, optimized geometry); symmetry = No. 216; theoretical density = 8.216 g/cm³; M_tot = 0.00 μB/atom
1.0
0.000 3.436 3.436
3.436 0.000 3.436
3.436 3.436 0.000
Ba Co Mg Ta
1 1 1 1
direct
0.500 0.500 0.500 Ba
0.000 0.000 0.000 Co
0.750 0.750 0.750 Mg
0.250 0.250 0.250 Ta

Which structure is the most stable? The one labeled two.

one | TbBiNO (PBE-GGA, optimized geometry); symmetry = No. 26; theoretical density = 8.129 g/cm³; M_tot = 0.00 μB/atom
1.0
3.835 0.000 0.000
0.000 6.440 0.000
0.000 0.000 6.582
Bi N O Tb
2 2 2 2
direct
0.000 0.557 0.325 Bi
0.000 0.057 0.675 Bi
0.000 0.915 0.369 N
0.000 0.415 0.631 N
0.500 0.293 0.067 O
0.500 0.793 0.933 O
0.500 0.989 0.191 Tb
0.500 0.489 0.809 Tb

two | TbBiNO (PBE-GGA, optimized geometry); symmetry = No. 29; theoretical density = 9.314 g/cm³; M_tot = 0.00 μB/atom
1.0
5.842 0.000 0.000
0.000 8.402 0.000
0.000 0.000 5.781
Bi N O Tb
4 4 4 4
direct
0.993 0.128 0.475 Bi
0.493 0.872 0.475 Bi
0.507 0.128 0.975 Bi
0.007 0.872 0.975 Bi
0.912 0.120 0.047 N
0.412 0.880 0.047 N
0.588 0.120 0.547 N
0.088 0.880 0.547 N
0.749 0.491 0.215 O
0.249 0.509 0.215 O
0.751 0.491 0.715 O
0.251 0.509 0.715 O
0.492 0.380 0.465 Tb
0.992 0.620 0.465 Tb
0.008 0.380 0.965 Tb
0.508 0.620 0.965 Tb

Which structure is the most stable? The one labeled two.

one | Cu2Ag3 (PBE-GGA, optimized geometry); symmetry = No. 10; theoretical density = 9.578 g/cm³
1.0
-2.536 2.043 -3.611
1.350 -1.654 -1.883
-7.262 -8.471 2.232
Ag Cu
6 4
direct
0.899 0.000 0.193 Ag
0.396 0.500 0.196 Ag
0.792 0.500 0.405 Ag
0.208 0.500 0.595 Ag
0.604 0.500 0.804 Ag
0.101 0.000 0.807 Ag
0.500 0.000 0.000 Cu
0.000 0.500 0.000 Cu
0.302 0.000 0.400 Cu
0.698 0.000 0.600 Cu

two | Cu2Ag3 (PBE-GGA, optimized geometry); symmetry = No. 1; theoretical density = 9.592 g/cm³
1.0
4.865 0.000 0.000
-0.800 4.799 0.000
-1.670 -2.616 6.685
Ag Cu
6 4
direct
0.279 0.588 0.085 Ag
0.598 0.198 0.196 Ag
0.902 0.806 0.303 Ag
0.209 0.396 0.404 Ag
0.809 0.600 0.612 Ag
0.407 0.814 0.801 Ag
0.512 0.013 0.514 Cu
0.096 0.193 0.703 Cu
0.697 0.389 0.890 Cu
0.991 0.004 0.993 Cu

Which structure is the most stable? The one labeled two.

one | NaYFeSe3 (PBE-GGA, optimized geometry); symmetry = No. 62; theoretical density = 4.871 g/cm³; M_tot = 0.67 μB/atom
1.0
-7.787 -2.544 -0.228
1.238 -3.872 0.944
-1.548 3.333 15.708
Fe Na Se Y
4 4 12 4
direct
0.125 0.750 0.140 Fe
0.625 0.750 0.360 Fe
0.375 0.250 0.640 Fe
0.875 0.250 0.860 Fe
0.428 0.250 0.215 Na
0.928 0.250 0.285 Na
0.072 0.750 0.715 Na
0.572 0.750 0.785 Na
0.376 0.750 0.059 Se
0.995 0.250 0.092 Se
0.694 0.750 0.217 Se
0.194 0.750 0.283 Se
0.495 0.250 0.408 Se
0.876 0.750 0.441 Se
0.124 0.250 0.559 Se
0.505 0.750 0.592 Se
0.806 0.250 0.717 Se
0.306 0.250 0.783 Se
0.005 0.750 0.908 Se
0.624 0.250 0.941 Se
0.753 0.750 0.045 Y
0.253 0.750 0.455 Y
0.747 0.250 0.545 Y
0.247 0.250 0.955 Y

two | NaYFeSe3 (PBE-GGA, optimized geometry); symmetry = No. 11; theoretical density = 4.407 g/cm³; M_tot = 0.63 μB/atom
1.0
8.104 0.000 0.000
0.000 3.984 0.000
-2.427 0.000 9.443
Fe Na Se Y
2 2 6 2
direct
0.931 0.750 0.415 Fe
0.069 0.250 0.585 Fe
0.235 0.250 0.273 Na
0.765 0.750 0.727 Na
0.433 0.750 0.155 Se
0.939 0.750 0.168 Se
0.763 0.250 0.460 Se
0.237 0.750 0.540 Se
0.061 0.250 0.832 Se
0.567 0.250 0.845 Se
0.681 0.250 0.145 Y
0.319 0.750 0.855 Y

Which structure is the most stable? The one labeled two.

one | GdTcPO (PBE-GGA, optimized geometry); symmetry = No. 129; theoretical density = 6.410 g/cm³; M_tot = 0.28 μB/atom
1.0
-0.926 -3.488 2.182
0.828 -2.348 -3.404
8.413 -0.665 2.506
Gd O P Tc
2 2 2 2
direct
0.750 0.250 0.500 Gd
0.250 0.750 0.500 Gd
0.750 0.250 0.000 O
0.250 0.750 0.000 O
0.750 0.750 0.287 P
0.250 0.250 0.713 P
0.750 0.750 0.035 Tc
0.250 0.250 0.965 Tc

two | GdTcPO (PBE-GGA, optimized geometry); symmetry = No. 129; theoretical density = 6.720 g/cm³; M_tot = 0.71 μB/atom
1.0
4.460 0.000 0.000
0.000 4.460 0.000
0.000 0.000 7.510
Gd O P Tc
2 2 2 2
direct
0.000 0.000 0.500 Gd
0.500 0.500 0.500 Gd
0.000 0.000 0.000 O
0.500 0.500 0.000 O
0.500 0.000 0.293 P
0.000 0.500 0.707 P
0.000 0.500 0.021 Tc
0.500 0.000 0.979 Tc

Which structure is the most stable? The one labeled one.

one | Cu7Ag3 (PBE-GGA, optimized geometry); symmetry = No. 12; theoretical density = 9.263 g/cm³
1.0
2.330 -6.734 0.000
2.330 6.734 0.000
-1.559 0.000 4.390
Ag Cu
3 7
direct
0.000 0.000 0.000 Ag
0.892 0.108 0.500 Ag
0.108 0.892 0.500 Ag
0.791 0.209 0.000 Cu
0.604 0.396 0.000 Cu
0.396 0.604 0.000 Cu
0.209 0.791 0.000 Cu
0.698 0.302 0.500 Cu
0.500 0.500 0.500 Cu
0.302 0.698 0.500 Cu

two | Cu7Ag3 (PBE-GGA, optimized geometry); symmetry = No. 6; theoretical density = 9.249 g/cm³
1.0
6.551 0.000 0.000
0.000 2.728 0.000
-1.946 0.000 7.718
Ag Cu
3 7
direct
0.419 0.000 0.203 Ag
0.080 0.500 0.287 Ag
0.200 0.000 0.610 Ag
0.705 0.500 0.080 Cu
0.793 0.000 0.414 Cu
0.515 0.500 0.515 Cu
0.886 0.500 0.704 Cu
0.602 0.000 0.803 Cu
0.304 0.500 0.905 Cu
0.997 0.000 0.979 Cu

three | Cu7Ag3 (PBE-GGA, optimized geometry); symmetry = No. 166; theoretical density = 9.243 g/cm³
1.0
1.367 0.789 21.316
-1.367 0.789 21.316
0.000 -1.579 21.316
Ag Cu
3 7
direct
0.400 0.400 0.400 Ag
0.500 0.500 0.500 Ag
0.600 0.600 0.600 Ag
0.000 0.000 0.000 Cu
0.102 0.102 0.102 Cu
0.202 0.202 0.202 Cu
0.302 0.302 0.302 Cu
0.698 0.698 0.698 Cu
0.798 0.798 0.798 Cu
0.898 0.898 0.898 Cu

Which structure is the most stable? The one labeled two.

one | Pd (PBE-GGA, optimized geometry); symmetry = No. 141; theoretical density = 10.648 g/cm³
1.0
0.000 0.000 -2.680
2.488 2.488 1.340
2.488 -2.488 -1.340
Pd
2
direct
0.000 0.000 0.000 Pd
0.250 0.500 0.500 Pd

two | Pd (PBE-GGA, optimized geometry); symmetry = No. 13; theoretical density = 7.240 g/cm³
1.0
4.753 0.000 0.000
0.000 34.195 0.000
-1.534 0.000 4.506
Pd
30
direct
0.500 0.231 0.000 Pd
0.000 0.271 0.000 Pd
0.500 0.314 0.000 Pd
0.000 0.355 0.000 Pd
0.500 0.397 0.000 Pd
0.000 0.438 0.000 Pd
0.500 0.479 0.000 Pd
0.000 0.521 0.000 Pd
0.500 0.562 0.000 Pd
0.000 0.603 0.000 Pd
0.500 0.645 0.000 Pd
0.000 0.686 0.000 Pd
0.500 0.729 0.000 Pd
0.000 0.769 0.000 Pd
0.500 0.195 0.500 Pd
0.000 0.231 0.500 Pd
0.500 0.273 0.500 Pd
0.000 0.314 0.500 Pd
0.500 0.355 0.500 Pd
0.000 0.397 0.500 Pd
0.500 0.438 0.500 Pd
0.000 0.479 0.500 Pd
0.500 0.521 0.500 Pd
0.000 0.562 0.500 Pd
0.500 0.603 0.500 Pd
0.000 0.645 0.500 Pd
0.500 0.686 0.500 Pd
0.000 0.727 0.500 Pd
0.500 0.769 0.500 Pd
0.000 0.806 0.500 Pd

Which structure is the most stable? The one labeled two.